# Tl2ZnCu2Cl6

Crystalline Tl2ZnCu2Cl6 at its relaxed geometry (PBE, the Alexandria database).

- raw formation energy (eV per atom) = -0.793
- volume (Å³ per cell) = 279.1
- space group = C2/m, No. 12

abc: 7.031 7.347 7.439
angles: 119.56 90.00 118.58
Fractional positions:
Tl 0.744 0.488 0.212
Tl 0.256 0.512 0.788
Zn 0.500 0.000 0.500
Cu 0.914 0.828 0.715
Cu 0.086 0.172 0.285
Cl 0.739 0.478 0.700
Cl 0.227 0.937 0.234
Cl 0.290 0.063 0.766
Cl 0.773 0.063 0.766
Cl 0.710 0.937 0.234
Cl 0.261 0.522 0.300